! RbY2CuS4 GGA-PBE relaxed; values from VASP
! E_tot ... -5.9655 eV/atom
! Magnetic moment ... 0.00 μB per cell
&SYSTEM
  ibrav = 0, nat = 16, ntyp = 4
/
ATOMIC_SPECIES
Rb 85.47 Rb.upf
Y 88.91 Y.upf
Cu 63.55 Cu.upf
S 32.06 S.upf
CELL_PARAMETERS angstrom
1.9935 -6.8993 0.0000
1.9935 6.8993 0.0000
0.0000 0.0000 13.8100
ATOMIC_POSITIONS angstrom
Rb 1.9935 5.4129 10.3575
Rb 1.9935 -5.4129 3.4525
Y 1.9935 1.8514 7.7611
Y 1.9935 1.8514 12.9539
Y 1.9935 -1.8514 0.8561
Y 1.9935 -1.8514 6.0489
Cu 1.9935 4.6273 3.4525
Cu 1.9935 -4.6273 10.3575
S 0.0000 0.0000 0.0000
S 0.0000 0.0000 6.9050
S 1.9935 3.3184 1.5024
S 1.9935 3.3184 5.4026
S 1.9935 1.0333 10.3575
S 1.9935 -1.0333 3.4525
S 1.9935 -3.3184 8.4074
S 1.9935 -3.3184 12.3076